# 1
LaTb3Au2: optimized geometry, PBE.

Cell: 5.0282 9.1085 7.2507 Å, 90.00 90.00 90.00°
Last column: nearest neighbours and their distance in Å.
Positions (direct):
La: 0.0000 0.0752 0.0000  3 Au 3.07-3.22
La: 0.0000 0.9248 0.5000  3 Au 3.07-3.22
Tb: 0.0000 0.3359 0.6405  4 Au 2.91-3.07
Tb: 0.0000 0.6641 0.1405  4 Au 2.91-3.07
Tb: 0.5000 0.1713 0.3411  4 Au 2.92-3.10
Tb: 0.5000 0.4297 0.9795  3 Au 3.00-3.22
Tb: 0.5000 0.5703 0.4795  3 Au 3.00-3.22
Tb: 0.5000 0.8287 0.8411  4 Au 2.92-3.10
Au: 0.0000 0.3528 0.2400  6 Tb 2.91-3.22, 1 La 3.07
Au: 0.0000 0.6472 0.7400  6 Tb 2.91-3.22, 1 La 3.07
Au: 0.5000 0.1599 0.7432  5 Tb 2.92-3.10, 2 La 3.22
Au: 0.5000 0.8401 0.2432  5 Tb 2.92-3.10, 2 La 3.22

Output
crystal system: orthorhombic
raw total energy: -4.829 eV per atom
energy relative to the elements: -3.6 eV per formula unit
offset from the most stable computed form: 0 meV/atom
total magnetic moment: 0.00 μB per formula unit
density of states at the Fermi level: 1.06 states/eV per atom


# 2
La2Tb3Au2: optimized geometry, PBE.

Cell: 13.0211 3.8064 9.3678 Å, 90.00 116.89 90.00°
Last column: nearest neighbours and their distance in Å.
Positions (direct):
La: 0.1533 0.0000 0.3153  2 Au 3.25
La: 0.3467 0.5000 0.6847  2 Au 3.25
La: 0.6533 0.5000 0.3153  2 Au 3.25
La: 0.8467 0.0000 0.6847  2 Au 3.25
Tb: 0.0000 0.5000 0.5000  4 Au 2.96
Tb: 0.1155 0.5000 0.9460  3 Au 3.00-3.06
Tb: 0.3845 0.0000 0.0540  3 Au 3.00-3.06
Tb: 0.5000 0.0000 0.5000  4 Au 2.96
Tb: 0.6155 0.0000 0.9460  3 Au 3.00-3.06
Tb: 0.8845 0.5000 0.0540  3 Au 3.00-3.06
Au: 0.1637 0.0000 0.7360  5 Tb 2.96-3.06, 2 La 3.25
Au: 0.3363 0.5000 0.2640  5 Tb 2.96-3.06, 2 La 3.25
Au: 0.6637 0.5000 0.7360  5 Tb 2.96-3.06, 2 La 3.25
Au: 0.8363 0.0000 0.2640  5 Tb 2.96-3.06, 2 La 3.25

Output
crystal system: monoclinic
raw total energy: -4.826 eV per atom
energy relative to the elements: -3.5 eV per formula unit
total magnetic moment: 0.00 μB per formula unit
density of states at the Fermi level: 1.33 states/eV per atom